Entry from Alexandria: crystalline TaTe4Os at its relaxed geometry (GGA-PBE). Values from VASP.

Values from the calculation:
Formation energy (no corrections) ... -238 meV per atom
Density of states at the Fermi level ... 9.3 states/eV/cell
Relative energy among the computed polymorphs ... 0 meV/atom
DFT total energy ... -6.180 eV per atom

```
&SYSTEM
  ibrav = 0, nat = 24, ntyp = 3
/
ATOMIC_SPECIES
Ta 180.95 Ta.upf
Te 127.60 Te.upf
Os 190.23 Os.upf
CELL_PARAMETERS angstrom
3.790 0.000 0.000
0.000 12.461 0.000
0.000 0.000 13.849
ATOMIC_POSITIONS crystal
Ta 0.000 0.051 0.000
Ta 0.000 0.285 0.482
Ta 0.500 0.715 0.982
Ta 0.500 0.949 0.500
Te 0.000 0.073 0.391
Te 0.000 0.189 0.849
Te 0.000 0.337 0.084
Te 0.000 0.428 0.629
Te 0.000 0.574 0.393
Te 0.000 0.668 0.842
Te 0.000 0.838 0.094
Te 0.000 0.901 0.641
Te 0.500 0.099 0.141
Te 0.500 0.162 0.594
Te 0.500 0.332 0.342
Te 0.500 0.426 0.893
Te 0.500 0.572 0.129
Te 0.500 0.663 0.584
Te 0.500 0.811 0.349
Te 0.500 0.927 0.891
Os 0.000 0.536 0.996
Os 0.000 0.772 0.483
Os 0.500 0.228 0.983
Os 0.500 0.464 0.496
```